# 1
Ti3MnP PBE optimized geometry; total moment = 0.67 μB/atom; E_form = -0.04 eV/atom; offset from the most stable computed form = 0.00 eV per formula unit; ρ = 4.1 g/cm³
1.0
4.5325 0.0000 0.0000
0.0000 4.5325 0.0000
0.0000 0.0000 4.5325
Ti Mn P
3 1 1
Direct
0.0000 0.0000 0.5000 Ti
0.0000 0.5000 0.0000 Ti
0.5000 0.0000 0.0000 Ti
0.5000 0.5000 0.5000 Mn
0.0000 0.0000 0.0000 P


# 2
Ti3Mn6P5 PBE optimized geometry; total moment = 0.33 μB/atom; E_form = -0.73 eV/atom; ρ = 6.0 g/cm³
1.0
3.5852 0.0000 0.0000
0.0000 11.2326 0.0000
0.0000 0.0000 8.6147
Ti Mn P
6 12 10
Direct
0.2500 0.0619 0.2486 Ti
0.2500 0.4381 0.2486 Ti
0.2500 0.7500 0.2237 Ti
0.7500 0.2500 0.7763 Ti
0.7500 0.5619 0.7514 Ti
0.7500 0.9381 0.7514 Ti
0.2500 0.0645 0.9162 Mn
0.2500 0.2500 0.0935 Mn
0.2500 0.2500 0.4977 Mn
0.2500 0.4355 0.9162 Mn
0.2500 0.5873 0.5077 Mn
0.2500 0.9127 0.5077 Mn
0.7500 0.0873 0.4923 Mn
0.7500 0.4127 0.4923 Mn
0.7500 0.5645 0.0838 Mn
0.7500 0.7500 0.5023 Mn
0.7500 0.7500 0.9065 Mn
0.7500 0.9355 0.0838 Mn
0.2500 0.0895 0.6625 P
0.2500 0.4105 0.6625 P
0.2500 0.6269 0.9655 P
0.2500 0.7500 0.6808 P
0.2500 0.8731 0.9655 P
0.7500 0.1269 0.0345 P
0.7500 0.2500 0.3192 P
0.7500 0.3731 0.0345 P
0.7500 0.5895 0.3375 P
0.7500 0.9105 0.3375 P


# 3
Ti3MnP PBE optimized geometry; total moment = 0.13 μB/atom; E_form = 0.29 eV/atom; offset from the most stable computed form = 1.67 eV per formula unit; ρ = 4.4 g/cm³
1.0
4.4109 0.0000 0.0000
0.0000 4.4109 0.0000
0.0000 0.0000 4.4109
Ti Mn P
3 1 1
Direct
0.0000 0.0000 0.5000 Ti
0.0000 0.5000 0.0000 Ti
0.5000 0.0000 0.0000 Ti
0.0000 0.0000 0.0000 Mn
0.5000 0.5000 0.5000 P


# 4
TiMn2P PBE optimized geometry; total moment = 0.00 μB/atom; E_form = -0.12 eV/atom; ρ = 5.8 g/cm³
1.0
-1.7914 1.7914 8.3713
1.7914 -1.7914 8.3713
1.7914 1.7914 -8.3713
Ti Mn P
2 4 2
Direct
0.0000 0.0000 0.0000 Ti
0.7500 0.2500 0.5000 Ti
0.2062 0.6250 0.0812 Mn
0.3750 0.4562 0.5812 Mn
0.5438 0.1250 0.9188 Mn
0.8750 0.7938 0.4188 Mn
0.2500 0.7500 0.5000 P
0.5000 0.5000 0.0000 P


# 5
TiMn2P12 PBE optimized geometry; total moment = 0.03 μB/atom; E_form = -0.39 eV/atom; ρ = 3.9 g/cm³
1.0
8.0215 -2.9001 0.0000
8.0215 2.9001 0.0000
-4.5300 0.0000 9.6312
Ti Mn P
2 4 24
Direct
0.1963 0.8037 0.7500 Ti
0.8037 0.1963 0.2500 Ti
0.1277 0.5073 0.9537 Mn
0.4927 0.8723 0.5463 Mn
0.5073 0.1277 0.4537 Mn
0.8723 0.4927 0.0463 Mn
0.0677 0.1662 0.5058 P
0.0850 0.7911 0.3334 P
0.0955 0.4524 0.4253 P
0.1492 0.4947 0.1646 P
0.1662 0.0677 0.0058 P
0.1678 0.5203 0.7571 P
0.2089 0.9150 0.1666 P
0.4178 0.5160 0.0723 P
0.4524 0.0955 0.9253 P
0.4797 0.8322 0.7429 P
0.4840 0.5822 0.4277 P
0.4947 0.1492 0.6646 P
0.5053 0.8508 0.3354 P
0.5160 0.4178 0.5723 P
0.5203 0.1678 0.2571 P
0.5476 0.9045 0.0747 P
0.5822 0.4840 0.9277 P
0.7911 0.0850 0.8334 P
0.8322 0.4797 0.2429 P
0.8338 0.9323 0.9942 P
0.8508 0.5053 0.8354 P
0.9045 0.5476 0.5747 P
0.9150 0.2089 0.6666 P
0.9323 0.8338 0.4942 P


# 6
Ti2MnP2 PBE optimized geometry; total moment = 0.00 μB/atom; E_form = -0.92 eV/atom; ρ = 5.4 g/cm³
1.0
5.8849 0.0000 0.0000
0.0000 5.8849 0.0000
0.0000 0.0000 3.7824
Ti Mn P
4 2 4
Direct
0.1654 0.3346 0.0000 Ti
0.3346 0.8346 0.0000 Ti
0.6654 0.1654 0.0000 Ti
0.8346 0.6654 0.0000 Ti
0.0000 0.0000 0.5000 Mn
0.5000 0.5000 0.5000 Mn
0.1418 0.6418 0.5000 P
0.3582 0.1418 0.5000 P
0.6418 0.8582 0.5000 P
0.8582 0.3582 0.5000 P


# 7
TiMnP3 PBE optimized geometry; total moment = 0.71 μB/atom; E_form = 0.36 eV/atom; offset from the most stable computed form = 0.00 eV per formula unit; ρ = 3.8 g/cm³
1.0
4.4101 0.0000 0.0000
0.0000 4.4101 0.0000
0.0000 0.0000 4.4101
Ti Mn P
1 1 3
Direct
0.0000 0.0000 0.0000 Ti
0.5000 0.5000 0.5000 Mn
0.0000 0.5000 0.5000 P
0.5000 0.0000 0.5000 P
0.5000 0.5000 0.0000 P


# 8
Mn2TlP PBE optimized geometry; total moment = 1.07 μB/atom; E_form = 0.28 eV/atom; ρ = 8.8 g/cm³
1.0
-1.6633 2.6240 3.7258
1.6633 -2.6240 3.7258
1.6633 2.6240 -3.7258
Mn Tl P
2 1 1
Direct
0.1935 0.1935 0.0000 Mn
0.8065 0.8065 0.0000 Mn
0.5000 0.0000 0.5000 Tl
0.0000 0.5000 0.5000 P


# 9
MnTlP2 PBE optimized geometry; total moment = 0.00 μB/atom; E_form = 0.05 eV/atom; offset from the most stable computed form = 0.35 eV per formula unit; ρ = 5.5 g/cm³
1.0
-2.8104 2.8104 6.1618
2.8104 -2.8104 6.1618
2.8104 2.8104 -6.1618
Mn Tl P
2 2 4
Direct
0.3750 0.6250 0.7500 Mn
0.6250 0.3750 0.2500 Mn
0.1250 0.8750 0.2500 Tl
0.8750 0.1250 0.7500 Tl
0.0000 0.5000 0.5000 P
0.5000 0.0000 0.0000 P
0.5000 0.5000 0.0000 P
0.5000 0.5000 0.5000 P


# 10
Mn2TlP2 PBE optimized geometry; total moment = 1.19 μB/atom; E_form = 0.17 eV/atom; offset from the most stable computed form = 1.48 eV per formula unit; ρ = 7.2 g/cm³
1.0
7.5739 0.0000 0.0000
0.0000 7.5739 0.0000
0.0000 0.0000 3.0251
Mn Tl P
4 2 4
Direct
0.1191 0.3809 0.0000 Mn
0.3809 0.8809 0.0000 Mn
0.6191 0.1191 0.0000 Mn
0.8809 0.6191 0.0000 Mn
0.0000 0.0000 0.5000 Tl
0.5000 0.5000 0.5000 Tl
0.1334 0.6334 0.5000 P
0.3666 0.1334 0.5000 P
0.6334 0.8666 0.5000 P
0.8666 0.3666 0.5000 P


# 11
Mn2TlP PBE optimized geometry; total moment = 1.82 μB/atom; E_form = 0.39 eV/atom; ρ = 8.5 g/cm³
1.0
-1.9206 1.9206 4.5936
1.9206 -1.9206 4.5936
1.9206 1.9206 -4.5936
Mn Tl P
2 1 1
Direct
0.0000 0.0000 0.0000 Mn
0.7500 0.2500 0.5000 Mn
0.5000 0.5000 0.0000 Tl
0.2500 0.7500 0.5000 P


# 12
MnTlP2 PBE optimized geometry; total moment = 0.51 μB/atom; E_form = 0.04 eV/atom; offset from the most stable computed form = 0.32 eV per formula unit; ρ = 7.5 g/cm³
1.0
3.1107 0.0000 0.0000
0.0000 3.1107 0.0000
0.0000 0.0000 7.3343
Mn Tl P
1 1 2
Direct
0.0000 0.0000 0.0000 Mn
0.0000 0.0000 0.5000 Tl
0.5000 0.5000 0.1573 P
0.5000 0.5000 0.8427 P